This record from Alexandria describes a relaxed structure of LaHg3Br. The functional is GGA-PBE.

Unit cell a=5.6802 b=5.6802 c=5.6802 alpha=90.00 beta=90.00 gamma=90.00
With the nearest neighbours (Å) after each atom.
Fractional coordinates of all 5 atoms:
Hg1 0.0000 0.5000 0.0000  2 Br 2.84
Hg2 0.0000 0.0000 0.5000  2 Br 2.84
Hg3 0.5000 0.0000 0.0000  2 Br 2.84
Br1 0.0000 0.0000 0.0000  6 Hg 2.84
La1 0.5000 0.5000 0.5000  12 Hg 4.02

- ρ (Mg/m³) = 7.4
- formation energy (no corrections) (eV per atom) = 0.321
- magnetic moment (Bohr magnetons per cell) = 0.0
- excess energy over the best structure of this formula in the dataset (eV per formula unit) = 1.11